## Ir2PtW (PBE-GGA)

Data for Ir2PtW after structural relaxation.

abc: 3.3818 3.3818 5.4373
angles: 90.00 90.00 90.00
Last column: nearest neighbours and their distance in Å.
Fractional positions:
1 Ir 0.0000 0.0000 0.0000  2 Pt 2.68-2.75, 4 Ir 2.72, 4 W 2.72
2 Ir 0.5000 0.5000 0.2365  2 W 2.58-2.85, 4 Ir 2.72, 4 Pt 2.77
3 Pt 0.0000 0.0000 0.4937  6 Ir 2.68-2.77, 4 W 2.80
4 W 0.5000 0.5000 0.7613  6 Ir 2.58-2.85, 4 Pt 2.80

Results
As for the spin magnetization: 0.00 μB/atom. Its density of states at the Fermi level is 4.9 states/eV/cell. As for the volume: 62.2 Å³/cell. The calculation puts the energy above the most stable polymorph in this dataset at 331 meV per atom. The calculation puts the total energy at -9.08 eV per atom.



## IrPtW (PBE-GGA)

Data for IrPtW after structural relaxation.

abc: 4.8462 4.8462 4.8462
angles: 146.72 132.26 59.43
Last column: nearest neighbours and their distance in Å.
Fractional positions:
1 Ir 0.0000 0.0000 0.0000  5 W 2.74-2.90, 5 Pt 2.75-2.81, 2 Ir 2.78
2 Pt 0.3262 0.3262 0.0000  5 Ir 2.75-2.81, 5 W 2.77-2.80, 2 Pt 2.78
3 W 0.6556 0.6556 0.0000  5 Ir 2.74-2.90, 5 Pt 2.77-2.80, 2 W 2.78

Results
As for the spin magnetization: 0.00 μB/atom. Its density of states at the Fermi level is 1.8 states/eV/cell. As for the volume: 45.8 Å³/cell. The calculation puts the energy above the most stable polymorph in this dataset at 0 meV per atom. The calculation puts the total energy at -9.59 eV per atom.



Sequential energy of formation output: 0.095, -0.300 eV per atom